# 1
## InSnCl2 (SCAN)

Data for InSnCl2 at its PBEsol-relaxed geometry.

```
InSnCl2
1.0
5.1418 0.0000 0.0000
2.5709 4.4530 0.0000
2.5709 1.4843 4.1983
Cl Sn In
2 1 1
Direct
0.2500 0.2500 0.2500
0.7500 0.7500 0.7500
0.5000 0.5000 0.5000
0.0000 0.0000 0.0000
```

## Properties
As for the theoretical density: 5.26 g cm⁻³. The value obtained for the magnetic moment is 0.00 μB per formula unit. The uncorrected formation energy is -161 kJ/mol of formula units. Its uncorrected energy is -21.73 eV per atom.

# 2
## SrIn4Cl (SCAN)

Data for SrIn4Cl at its PBEsol-relaxed geometry.

```
SrIn4Cl
1.0
-3.5128 -0.1361 -5.0294
-3.9856 -4.5902 -0.8353
-6.0291 1.0536 0.4392
Cl In Sr
1 4 1
Direct
0.0000 0.0000 0.0000
0.8760 0.3746 0.3746
0.3746 0.3746 0.3746
0.3746 0.3746 0.8760
0.3746 0.8760 0.3746
0.7500 0.7500 0.7500
```

## Properties
As for the theoretical density: 5.92 g cm⁻³. The value obtained for the magnetic moment is 0.00 μB per formula unit. The uncorrected formation energy is -244 kJ/mol of formula units. Its uncorrected energy is -27.72 eV per atom.